Entry 1:
# HfSbTe2Mo (PBE, optimized geometry)
# Magnetic moment (μB/cell): 4.1
# E above lowest polymorph (eV per atom): 0.0000
# Energy relative to the elements, uncorrected (eV/atom): 0.807
data_HfSbTe2Mo
_space_group_name_H-M_alt 'P 4/m m m'
_space_group_IT_number 123
_space_group_name_Hall '-P 4 2'
_cell_length_a 5.5037
_cell_length_b 5.5037
_cell_length_c 5.5380
_cell_angle_alpha 90.00
_cell_angle_beta 90.00
_cell_angle_gamma 90.00
loop_
_atom_site_label
_atom_site_type_symbol
_atom_site_fract_x
_atom_site_fract_y
_atom_site_fract_z
Hf1 Hf 0.0000 0.0000 0.0000
Sb1 Sb 0.0000 0.0000 0.5000
Te1 Te 0.0000 0.5000 0.0000
Mo1 Mo 0.5000 0.5000 0.5000

Entry 2:
# Y2HfSbMo (PBE, optimized geometry)
# Magnetic moment (μB/cell): 0.0
# Energy relative to the elements, uncorrected (eV/atom): 0.836
data_Y2HfSbMo
_space_group_name_H-M_alt 'P 4/m m m'
_space_group_IT_number 123
_space_group_name_Hall '-P 4 2'
_cell_length_a 5.6111
_cell_length_b 5.6111
_cell_length_c 4.7090
_cell_angle_alpha 90.00
_cell_angle_beta 90.00
_cell_angle_gamma 90.00
loop_
_atom_site_label
_atom_site_type_symbol
_atom_site_fract_x
_atom_site_fract_y
_atom_site_fract_z
Y1 Y 0.0000 0.5000 0.0000
Hf1 Hf 0.0000 0.0000 0.0000
Sb1 Sb 0.5000 0.5000 0.5000
Mo1 Mo 0.0000 0.0000 0.5000

Entry 3:
# HfSc2Mo (PBE, optimized geometry)
# Formation energy from the elements (kcal/mol of atoms): 6.6
# Magnetic moment (μB/cell): 0.0
# E above lowest polymorph (eV per atom): 0.0000
data_HfSc2Mo
_space_group_name_H-M_alt 'F m -3 m'
_space_group_IT_number 225
_space_group_name_Hall '-F 4 2 3'
_cell_length_a 6.8693
_cell_length_b 6.8693
_cell_length_c 6.8693
_cell_angle_alpha 90.00
_cell_angle_beta 90.00
_cell_angle_gamma 90.00
loop_
_atom_site_label
_atom_site_type_symbol
_atom_site_fract_x
_atom_site_fract_y
_atom_site_fract_z
Hf1 Hf 0.0000 0.0000 0.0000
Sc1 Sc 0.2500 0.2500 0.2500
Mo1 Mo 0.0000 0.0000 0.5000

Entry 4:
# HfSc2Mo (PBE, optimized geometry)
# Formation energy from the elements (kcal/mol of atoms): 11.5
# Magnetic moment (μB/cell): 0.0
# E above lowest polymorph (eV per atom): 0.2103
data_HfSc2Mo
_space_group_name_H-M_alt 'I -4 2 d'
_space_group_IT_number 122
_space_group_name_Hall 'I -4 2bw'
_cell_length_a 4.1041
_cell_length_b 4.1041
_cell_length_c 20.2775
_cell_angle_alpha 90.00
_cell_angle_beta 90.00
_cell_angle_gamma 90.00
loop_
_atom_site_label
_atom_site_type_symbol
_atom_site_fract_x
_atom_site_fract_y
_atom_site_fract_z
Hf1 Hf 0.0000 0.0000 0.0000
Sc1 Sc 0.2372 0.2500 0.6250
Mo1 Mo 0.0000 0.0000 0.5000

Entry 5:
# HfScMo2 (PBE, optimized geometry)
# Formation energy from the elements (kcal/mol of atoms): 16.0
# Magnetic moment (μB/cell): 0.0
# E above lowest polymorph (eV per atom): 0.5122
data_HfScMo2
_space_group_name_H-M_alt 'I -4 2 d'
_space_group_IT_number 122
_space_group_name_Hall 'I -4 2bw'
_cell_length_a 7.3093
_cell_length_b 7.3093
_cell_length_c 5.7409
_cell_angle_alpha 90.00
_cell_angle_beta 90.00
_cell_angle_gamma 90.00
loop_
_atom_site_label
_atom_site_type_symbol
_atom_site_fract_x
_atom_site_fract_y
_atom_site_fract_z
Hf1 Hf 0.0000 0.0000 0.0000
Sc1 Sc 0.0000 0.0000 0.5000
Mo1 Mo 0.2490 0.7500 0.6250

Entry 6:
# HfScMo4 (PBE, optimized geometry)
# Formation energy from the elements (kcal/mol of atoms): -2.1
# Magnetic moment (μB/cell): 0.0
data_HfScMo4
_space_group_name_H-M_alt 'F -4 3 m'
_space_group_IT_number 216
_space_group_name_Hall 'F -4 2 3'
_cell_length_a 7.5805
_cell_length_b 7.5805
_cell_length_c 7.5805
_cell_angle_alpha 90.00
_cell_angle_beta 90.00
_cell_angle_gamma 90.00
loop_
_atom_site_label
_atom_site_type_symbol
_atom_site_fract_x
_atom_site_fract_y
_atom_site_fract_z
Hf1 Hf 0.0000 0.0000 0.0000
Sc1 Sc 0.2500 0.2500 0.2500
Mo1 Mo 0.1249 0.1249 0.6249

Entry 7:
# HfScMo2 (PBE, optimized geometry)
# Formation energy from the elements (kcal/mol of atoms): 4.2
# Magnetic moment (μB/cell): 0.0
# E above lowest polymorph (eV per atom): 0.0000
data_HfScMo2
_space_group_name_H-M_alt 'F m -3 m'
_space_group_IT_number 225
_space_group_name_Hall '-F 4 2 3'
_cell_length_a 6.6340
_cell_length_b 6.6340
_cell_length_c 6.6340
_cell_angle_alpha 90.00
_cell_angle_beta 90.00
_cell_angle_gamma 90.00
loop_
_atom_site_label
_atom_site_type_symbol
_atom_site_fract_x
_atom_site_fract_y
_atom_site_fract_z
Hf1 Hf 0.0000 0.0000 0.0000
Sc1 Sc 0.0000 0.0000 0.5000
Mo1 Mo 0.2500 0.2500 0.2500

Entry 8:
# HfSc3Mo (PBE, optimized geometry)
# Formation energy from the elements (kcal/mol of atoms): 14.6
# Magnetic moment (μB/cell): 0.0
# E above lowest polymorph (eV per atom): 0.0000
data_HfSc3Mo
_space_group_name_H-M_alt 'P m -3 m'
_space_group_IT_number 221
_space_group_name_Hall '-P 4 2 3'
_cell_length_a 4.9736
_cell_length_b 4.9736
_cell_length_c 4.9736
_cell_angle_alpha 90.00
_cell_angle_beta 90.00
_cell_angle_gamma 90.00
loop_
_atom_site_label
_atom_site_type_symbol
_atom_site_fract_x
_atom_site_fract_y
_atom_site_fract_z
Hf1 Hf 0.0000 0.0000 0.0000
Sc1 Sc 0.0000 0.5000 0.5000
Mo1 Mo 0.5000 0.5000 0.5000

Entry 9:
# HfScMo (PBE, optimized geometry)
# Formation energy from the elements (kcal/mol of atoms): 0.1
# Magnetic moment (μB/cell): 0.0
# E above lowest polymorph (eV per atom): 0.0000
data_HfScMo
_space_group_name_H-M_alt 'C 1 2/m 1'
_space_group_IT_number 12
_cell_length_a 10.2601
_cell_length_b 4.7604
_cell_length_c 5.9695
_cell_angle_alpha 90.00
_cell_angle_beta 123.98
_cell_angle_gamma 90.00
loop_
_space_group_symop_operation_xyz
'x,y,z'
'-x,-y,-z'
'-x,y,-z'
'x,-y,z'
'x+1/2,y+1/2,z'
'-x+1/2,-y+1/2,-z'
'-x+1/2,y+1/2,-z'
'x+1/2,-y+1/2,z'
loop_
_atom_site_label
_atom_site_type_symbol
_atom_site_fract_x
_atom_site_fract_y
_atom_site_fract_z
Hf1 Hf 0.0408 0.0000 0.2905
Sc1 Sc 0.1762 0.5000 0.0918
Mo1 Mo 0.1392 0.5000 0.5632

Entry 10:
# HfScMo (PBE, optimized geometry)
# Formation energy from the elements (kcal/mol of atoms): 1.0
# Magnetic moment (μB/cell): 0.0
# E above lowest polymorph (eV per atom): 0.0410
data_HfScMo
_space_group_name_H-M_alt 'I 4 m m'
_space_group_IT_number 107
_space_group_name_Hall 'I 4 -2'
_cell_length_a 3.4168
_cell_length_b 3.4168
_cell_length_c 10.4914
_cell_angle_alpha 90.00
_cell_angle_beta 90.00
_cell_angle_gamma 90.00
loop_
_atom_site_label
_atom_site_type_symbol
_atom_site_fract_x
_atom_site_fract_y
_atom_site_fract_z
Hf1 Hf 0.0000 0.0000 0.0000
Sc1 Sc 0.0000 0.0000 0.7114
Mo1 Mo 0.0000 0.0000 0.3713

Entry 11:
# HfSc2Mo2 (PBE, optimized geometry)
# Formation energy from the elements (kcal/mol of atoms): 5.9
# Magnetic moment (μB/cell): 0.0
data_HfSc2Mo2
_space_group_name_H-M_alt 'P 4/m b m'
_space_group_IT_number 127
_space_group_name_Hall '-P 4 2ab'
_cell_length_a 7.4900
_cell_length_b 7.4900
_cell_length_c 3.5890
_cell_angle_alpha 90.00
_cell_angle_beta 90.00
_cell_angle_gamma 90.00
loop_
_atom_site_label
_atom_site_type_symbol
_atom_site_fract_x
_atom_site_fract_y
_atom_site_fract_z
Hf1 Hf 0.0000 0.0000 0.0000
Sc1 Sc 0.1784 0.3216 0.5000
Mo1 Mo 0.1151 0.6151 0.0000

Entry 12:
# HfSc2Mo (PBE, optimized geometry)
# Formation energy from the elements (kcal/mol of atoms): 8.7
# Magnetic moment (μB/cell): 0.0
# E above lowest polymorph (eV per atom): 0.0894
data_HfSc2Mo
_space_group_name_H-M_alt 'R -3 m'
_space_group_IT_number 166
_space_group_name_Hall '-R 3 2"'
_cell_length_a 3.0475
_cell_length_b 3.0475
_cell_length_c 31.7826
_cell_angle_alpha 90.00
_cell_angle_beta 90.00
_cell_angle_gamma 120.00
loop_
_atom_site_label
_atom_site_type_symbol
_atom_site_fract_x
_atom_site_fract_y
_atom_site_fract_z
Hf1 Hf 0.0000 0.0000 0.0000
Sc1 Sc 0.0000 0.0000 0.0952
Mo1 Mo 0.0000 0.0000 0.5000

Entry 13:
# Sr2HfScMo (PBE, optimized geometry)
# Formation energy from the elements (kcal/mol of atoms): 28.9
# Magnetic moment (μB/cell): 1.9
data_Sr2HfScMo
_space_group_name_H-M_alt 'P 4/m m m'
_space_group_IT_number 123
_space_group_name_Hall '-P 4 2'
_cell_length_a 6.1634
_cell_length_b 6.1634
_cell_length_c 4.7959
_cell_angle_alpha 90.00
_cell_angle_beta 90.00
_cell_angle_gamma 90.00
loop_
_atom_site_label
_atom_site_type_symbol
_atom_site_fract_x
_atom_site_fract_y
_atom_site_fract_z
Sr1 Sr 0.0000 0.5000 0.0000
Hf1 Hf 0.0000 0.0000 0.0000
Sc1 Sc 0.5000 0.5000 0.5000
Mo1 Mo 0.0000 0.0000 0.5000

Entry 14:
# HfScTiMo (PBE, optimized geometry)
# Formation energy from the elements (kcal/mol of atoms): 2.1
# Magnetic moment (μB/cell): 0.0
data_HfScTiMo
_space_group_name_H-M_alt 'F -4 3 m'
_space_group_IT_number 216
_space_group_name_Hall 'F -4 2 3'
_cell_length_a 6.7136
_cell_length_b 6.7136
_cell_length_c 6.7136
_cell_angle_alpha 90.00
_cell_angle_beta 90.00
_cell_angle_gamma 90.00
loop_
_atom_site_label
_atom_site_type_symbol
_atom_site_fract_x
_atom_site_fract_y
_atom_site_fract_z
Hf1 Hf 0.0000 0.0000 0.0000
Sc1 Sc 0.2500 0.2500 0.7500
Ti1 Ti 0.0000 0.0000 0.5000
Mo1 Mo 0.2500 0.2500 0.2500

Entry 15:
# HfScTl2Mo (PBE, optimized geometry)
# Formation energy from the elements (kcal/mol of atoms): 34.3
# Magnetic moment (μB/cell): 4.1
data_HfScTl2Mo
_space_group_name_H-M_alt 'P 4/m m m'
_space_group_IT_number 123
_space_group_name_Hall '-P 4 2'
_cell_length_a 5.5398
_cell_length_b 5.5398
_cell_length_c 5.0309
_cell_angle_alpha 90.00
_cell_angle_beta 90.00
_cell_angle_gamma 90.00
loop_
_atom_site_label
_atom_site_type_symbol
_atom_site_fract_x
_atom_site_fract_y
_atom_site_fract_z
Hf1 Hf 0.0000 0.0000 0.0000
Sc1 Sc 0.0000 0.0000 0.5000
Tl1 Tl 0.0000 0.5000 0.0000
Mo1 Mo 0.5000 0.5000 0.5000

Entry 16:
# HfScZnMo (PBE, optimized geometry)
# Formation energy from the elements (kcal/mol of atoms): -2.0
# Magnetic moment (μB/cell): 0.0
data_HfScZnMo
_space_group_name_H-M_alt 'F -4 3 m'
_space_group_IT_number 216
_space_group_name_Hall 'F -4 2 3'
_cell_length_a 6.6342
_cell_length_b 6.6342
_cell_length_c 6.6342
_cell_angle_alpha 90.00
_cell_angle_beta 90.00
_cell_angle_gamma 90.00
loop_
_atom_site_label
_atom_site_type_symbol
_atom_site_fract_x
_atom_site_fract_y
_atom_site_fract_z
Hf1 Hf 0.0000 0.0000 0.0000
Sc1 Sc 0.0000 0.0000 0.5000
Zn1 Zn 0.2500 0.2500 0.7500
Mo1 Mo 0.2500 0.2500 0.2500

Entry 17:
# HfMoSe (PBE, optimized geometry)
# Magnetic moment (μB/cell): 0.0
# E above lowest polymorph (eV per atom): 1.3483
# Energy relative to the elements, uncorrected (eV/atom): 0.633
data_HfMoSe
_space_group_name_H-M_alt 'F -4 3 m'
_space_group_IT_number 216
_space_group_name_Hall 'F -4 2 3'
_cell_length_a 6.3467
_cell_length_b 6.3467
_cell_length_c 6.3467
_cell_angle_alpha 90.00
_cell_angle_beta 90.00
_cell_angle_gamma 90.00
loop_
_atom_site_label
_atom_site_type_symbol
_atom_site_fract_x
_atom_site_fract_y
_atom_site_fract_z
Hf1 Hf 0.0000 0.0000 0.0000
Mo1 Mo 0.2500 0.2500 0.2500
Se1 Se 0.2500 0.2500 0.7500

Entry 18:
# HfMoSe3 (PBE, optimized geometry)
# Magnetic moment (μB/cell): 4.0
# Energy relative to the elements, uncorrected (eV/atom): 0.214
data_HfMoSe3
_space_group_name_H-M_alt 'P m -3 m'
_space_group_IT_number 221
_space_group_name_Hall '-P 4 2 3'
_cell_length_a 5.1437
_cell_length_b 5.1437
_cell_length_c 5.1437
_cell_angle_alpha 90.00
_cell_angle_beta 90.00
_cell_angle_gamma 90.00
loop_
_atom_site_label
_atom_site_type_symbol
_atom_site_fract_x
_atom_site_fract_y
_atom_site_fract_z
Hf1 Hf 0.0000 0.0000 0.0000
Mo1 Mo 0.5000 0.5000 0.5000
Se1 Se 0.0000 0.0000 0.5000

Entry 19:
# HfMoSe (PBE, optimized geometry)
# Magnetic moment (μB/cell): 0.0
# E above lowest polymorph (eV per atom): 0.3518
# Energy relative to the elements, uncorrected (eV/atom): -0.363
data_HfMoSe
_space_group_name_H-M_alt 'C 1 2/m 1'
_space_group_IT_number 12
_cell_length_a 10.9755
_cell_length_b 3.4027
_cell_length_c 6.9885
_cell_angle_alpha 90.00
_cell_angle_beta 121.86
_cell_angle_gamma 90.00
loop_
_space_group_symop_operation_xyz
'x,y,z'
'-x,-y,-z'
'-x,y,-z'
'x,-y,z'
'x+1/2,y+1/2,z'
'-x+1/2,-y+1/2,-z'
'-x+1/2,y+1/2,-z'
'x+1/2,-y+1/2,z'
loop_
_atom_site_label
_atom_site_type_symbol
_atom_site_fract_x
_atom_site_fract_y
_atom_site_fract_z
Hf1 Hf 0.0919 0.0000 0.3478
Mo1 Mo 0.1241 0.5000 0.0505
Se1 Se 0.1588 0.5000 0.6999

Entry 20:
# HfMoSe (PBE, optimized geometry)
# Magnetic moment (μB/cell): 0.0
# E above lowest polymorph (eV per atom): 0.0000
# Energy relative to the elements, uncorrected (eV/atom): -0.715
data_HfMoSe
_space_group_name_H-M_alt 'P 4/n m m'
_space_group_IT_number 129
_cell_length_a 3.4340
_cell_length_b 3.4340
_cell_length_c 10.2142
_cell_angle_alpha 90.00
_cell_angle_beta 90.00
_cell_angle_gamma 90.00
loop_
_space_group_symop_operation_xyz
'x,y,z'
'-x,-y,-z'
'-y+1/2,x,z'
'y+1/2,-x,-z'
'-x+1/2,-y+1/2,z'
'x+1/2,y+1/2,-z'
'y,-x+1/2,z'
'-y,x+1/2,-z'
'x+1/2,-y,-z'
'-x+1/2,y,z'
'-y,-x,-z'
'y,x,z'
'-x,y+1/2,-z'
'x,-y+1/2,z'
'y+1/2,x+1/2,-z'
'-y+1/2,-x+1/2,z'
loop_
_atom_site_label
_atom_site_type_symbol
_atom_site_fract_x
_atom_site_fract_y
_atom_site_fract_z
Hf1 Hf 0.2500 0.2500 0.2300
Mo1 Mo 0.2500 0.2500 0.9314
Se1 Se 0.2500 0.2500 0.6533